[1]
DFT (PBE-GGA) results for a relaxed Sc3Zn4In2 crystal.

Cell lengths 4.5252, 5.5739, 8.5410 Å; angles 115.16, 90.00, 113.95 degrees
Element x y z (fractional)
Sc: 0.6646 0.3292 0.6718
Sc: 0.0000 0.0000 0.0000
Sc: 0.3354 0.6708 0.3282
Zn: 0.7143 0.4286 0.0348
Zn: 0.2857 0.5714 0.9652
Zn: 0.9314 0.8628 0.5882
Zn: 0.0686 0.1372 0.4118
In: 0.6116 0.2231 0.2747
In: 0.3884 0.7769 0.7253

Results
* D(E_F): 0.683 states/eV per atom
* calculated total energy: -3.646 eV/atom
* formation enthalpy at 0 K: -361 meV per atom
* SG: No. 12
* theoretical density: 5.97 g cm⁻³

[2]
DFT (PBE-GGA) results for a relaxed LiMn5Se6 crystal.

Cell lengths 6.5793, 6.5820, 6.5790 Å; angles 59.98, 80.42, 70.56 degrees
Each line ends with the local moment (μB).
Element x y z (fractional)
Mn: 0.5000 0.1669 0.6662  4.16
Mn: 0.0000 0.3336 0.3328  4.15
Mn: 0.5000 0.5000 0.0000  4.17
Mn: 0.0000 0.6664 0.6672  4.15
Mn: 0.5000 0.8331 0.3338  4.16
Se: 0.7488 0.0837 0.3388  0.07
Se: 0.2512 0.5775 0.3388  0.07
Se: 0.2536 0.2547 0.0000  0.06
Se: 0.7464 0.7453 0.0000  0.06
Se: 0.7488 0.4225 0.6612  0.07
Se: 0.2512 0.9163 0.6612  0.07
Li: 0.0000 0.0000 0.0000  0.03

Results
* D(E_F): 0.388 states/eV per atom
* calculated total energy: -6.224 eV/atom
* energy relative to the elements, uncorrected: -6.03 eV/f.u.
* SG: No. 12
* theoretical density: 5.39 g cm⁻³

[3]
DFT (PBE-GGA) results for a relaxed HfP3Se crystal.

Cell lengths 4.6336, 4.6336, 4.6336 Å; angles 90.00, 90.00, 90.00 degrees
Element x y z (fractional)
P: 0.0000 0.5000 0.0000
P: 0.0000 0.0000 0.5000
P: 0.5000 0.0000 0.0000
Hf: 0.5000 0.5000 0.5000
Se: 0.0000 0.0000 0.0000

Results
* D(E_F): 0.593 states/eV per atom
* calculated total energy: -5.170 eV/atom
* energy relative to the elements, uncorrected: 3.82 eV/f.u.
* SG: No. 221
* theoretical density: 5.85 g cm⁻³
* energy above the most stable polymorph in this dataset: 150 meV/atom

[4]
DFT (PBE-GGA) results for a relaxed ErAlPd2 crystal.

Cell lengths 3.4184, 4.5754, 4.5754 Å; angles 90.00, 90.00, 90.00 degrees
Element x y z (fractional)
Al: 0.5000 0.0000 0.0000
Pd: 0.0000 0.0000 0.5000
Pd: 0.0000 0.5000 0.0000
Er: 0.5000 0.5000 0.5000

Results
* D(E_F): 0.503 states/eV per atom
* calculated total energy: -5.473 eV/atom
* formation enthalpy at 0 K: -800 meV per atom
* SG: No. 123
* theoretical density: 9.45 g cm⁻³

Which of these has the highest theoretical density?
ErAlPd2

Among the records above, which one has the lowest D(E_F)?
LiMn5Se6